#w
First-principles (PBE-GGA) data for a relaxed PmNiGe crystal, as listed in Alexandria.

Computed properties:
- spin magnetization (μB/f.u.) = 0.00

```
24
Lattice="4.312 0.000 0.000 0.000 7.345 0.000 0.000 0.000 14.463" Properties=species:S:1:pos:R:3 pbc="T T T"
Pm 2.156 5.792 10.782
Pm 0.000 2.094 7.231
Pm 2.156 5.175 7.231
Pm 0.000 2.170 0.000
Pm 0.000 1.553 10.912
Pm 0.000 1.553 3.551
Pm 2.156 5.252 0.000
Pm 2.156 5.792 3.681
Ni 0.000 6.772 1.578
Ni 0.000 6.772 12.885
Ni 2.156 3.086 12.212
Ni 0.000 4.260 4.980
Ni 2.156 3.086 2.251
Ni 2.156 0.573 5.654
Ni 2.156 0.573 8.809
Ni 0.000 4.260 9.483
Ge 0.000 6.696 8.670
Ge 0.000 4.342 12.314
Ge 2.156 3.003 5.082
Ge 0.000 4.342 2.149
Ge 2.156 3.003 9.381
Ge 0.000 6.696 5.793
Ge 2.156 0.649 1.439
Ge 2.156 0.649 13.024
```



#x
First-principles (PBE-GGA) data for a relaxed PmNiGe crystal, as listed in Alexandria.

Computed properties:
- spin magnetization (μB/f.u.) = 0.00

```
12
Lattice="-5.140 -0.128 2.342 -2.109 -1.466 -4.709 0.995 -7.183 1.791" Properties=species:S:1:pos:R:3 pbc="T T T"
Ni -2.901 -0.974 -0.708
Ni -5.075 -3.897 1.175
Ni -2.917 -4.923 -0.960
Ni -5.092 -7.846 0.924
Ge -3.423 -5.980 1.280
Ge -0.853 -5.917 0.109
Ge -2.000 -2.776 -2.236
Ge -4.570 -2.839 -1.065
Pm -2.068 -3.130 1.002
Pm -3.059 -7.756 -1.427
Pm -4.933 -1.064 1.642
Pm -5.924 -5.690 -0.786
```



#y
First-principles (PBE-GGA) data for a relaxed PmNiGe crystal, as listed in Alexandria.

Computed properties:
- spin magnetization (μB/f.u.) = 0.00

```
3
Lattice="3.926 0.000 0.000 0.000 4.192 0.000 0.000 -2.096 3.631" Properties=species:S:1:pos:R:3 pbc="T T T"
Ni 0.654 0.000 0.000
Ge 0.654 2.096 1.210
Pm 2.617 0.000 2.420
```



#z
First-principles (PBE-GGA) data for a relaxed PmNiGe crystal, as listed in Alexandria.

Computed properties:
- spin magnetization (μB/f.u.) = 0.42

```
3
Lattice="-3.486 2.095 1.798 -4.065 -0.582 -1.705 -3.052 -2.305 2.267" Properties=species:S:1:pos:R:3 pbc="T T T"
Ni -2.651 -0.198 0.590
Ge 0.000 0.000 0.000
Pm -5.301 -0.396 1.180
```



The least stable of them is #z.